No. 1
# YSi2P, relaxed, DFT GGA-PBE
# - Total energy: -6.015 eV per atom
# - Spin magnetization: 0.0 μB per formula unit
# - E_form (uncorrected): -32.4 kJ per mole of atoms
data_YSi2P
_chemical_formula_sum 'Y2 Si4 P2'
_space_group_name_H-M_alt 'C 1 m 1'
_space_group_IT_number 8
_cell_length_a 9.128
_cell_length_b 3.550
_cell_length_c 4.905
_cell_angle_alpha 90.00
_cell_angle_beta 111.78
_cell_angle_gamma 90.00
loop_
_space_group_symop_operation_xyz
'x,y,z'
'x,-y,z'
'x+1/2,y+1/2,z'
'x+1/2,-y+1/2,z'
loop_
_atom_site_label
_atom_site_fract_x
_atom_site_fract_y
_atom_site_fract_z
_atom_site_occupancy
Y1 0.000 0.000 0.000 1
Si1 0.004 0.500 0.501 1
Si2 0.224 0.000 0.640 1
P1 0.289 0.500 0.361 1

---

No. 2
# K2Hg5Au3, relaxed, DFT GGA-PBE
# - Total energy: -1.548 eV per atom
# - Formation energy from the elements: -0.195 eV/atom
# - Spin magnetization: 0.0 μB per formula unit
data_K2Hg5Au3
_chemical_formula_sum 'K8 Hg20 Au12'
_space_group_name_H-M_alt 'I b a m'
_space_group_IT_number 72
_space_group_name_Hall '-I 2 2c'
_cell_length_a 11.488
_cell_length_b 14.267
_cell_length_c 6.722
_cell_angle_alpha 90.00
_cell_angle_beta 90.00
_cell_angle_gamma 90.00
loop_
_atom_site_label
_atom_site_fract_x
_atom_site_fract_y
_atom_site_fract_z
_atom_site_occupancy
K1 0.219 0.149 0.000 1
Hg1 0.000 0.000 0.250 1
Hg2 0.000 0.296 0.250 1
Hg3 0.180 0.420 0.000 1
Au1 0.000 0.500 0.250 1
Au2 0.094 0.150 0.500 1

---

No. 3
# BeBIr2, relaxed, DFT GGA-PBE
# - Total energy: -4.133 eV per atom
# - Energy relative to the lowest polymorph listed for this composition: 3214 meV/atom
# - Formation energy from the elements: 2.898 eV/atom
# - Spin magnetization: 2.9 μB per formula unit
data_BeBIr2
_chemical_formula_sum 'Be2 B2 Ir4'
_space_group_name_H-M_alt 'I m m m'
_space_group_IT_number 71
_space_group_name_Hall '-I 2 2'
_cell_length_a 8.281
_cell_length_b 9.299
_cell_length_c 13.147
_cell_angle_alpha 90.00
_cell_angle_beta 90.00
_cell_angle_gamma 90.00
loop_
_atom_site_label
_atom_site_fract_x
_atom_site_fract_y
_atom_site_fract_z
_atom_site_occupancy
Be1 0.000 0.000 0.000 1
B1 0.000 0.500 0.500 1
Ir1 0.230 0.500 0.500 1

---

No. 4
# LiPm12Pt7, relaxed, DFT GGA-PBE
# - Total energy: -5.808 eV per atom
# - Formation energy from the elements: -0.747 eV/atom
# - Spin magnetization: 0.0 μB per formula unit
data_LiPm12Pt7
_chemical_formula_sum 'Li3 Pm36 Pt21'
_space_group_name_H-M_alt 'R -3'
_space_group_IT_number 148
_space_group_name_Hall '-R 3'
_cell_length_a 15.1727
_cell_length_b 15.1727
_cell_length_c 8.6850
_cell_angle_alpha 90.00
_cell_angle_beta 90.00
_cell_angle_gamma 120.00
loop_
_atom_site_label
_atom_site_fract_x
_atom_site_fract_y
_atom_site_fract_z
_atom_site_occupancy
Li1 0.0000 0.0000 0.0000 1
Pm1 0.0179 0.5811 0.3182 1
Pm2 0.0428 0.8784 0.2797 1
Pt1 0.0000 0.0000 0.5000 1
Pt2 0.0486 0.8602 0.9167 1

---

No. 5
# CaH2CClO3, relaxed, DFT GGA-PBE
# - Total energy: -5.999 eV per atom
# - Energy relative to the lowest polymorph listed for this composition: 0 meV/atom
# - Spin magnetization: 0.0 μB per formula unit
data_CaH2CClO3
_chemical_formula_sum 'Ca4 H8 C4 Cl4 O12'
_space_group_name_H-M_alt 'C 1 2/m 1'
_space_group_IT_number 12
_cell_length_a 9.868
_cell_length_b 7.410
_cell_length_c 7.110
_cell_angle_alpha 90.00
_cell_angle_beta 130.68
_cell_angle_gamma 90.00
loop_
_space_group_symop_operation_xyz
'x,y,z'
'-x,-y,-z'
'-x,y,-z'
'x,-y,z'
'x+1/2,y+1/2,z'
'-x+1/2,-y+1/2,-z'
'-x+1/2,y+1/2,-z'
'x+1/2,-y+1/2,z'
loop_
_atom_site_label
_atom_site_fract_x
_atom_site_fract_y
_atom_site_fract_z
_atom_site_occupancy
Ca1 0.134 0.000 0.383 1
H1 0.093 0.275 0.034 1
C1 0.000 0.395 0.500 1
Cl1 0.235 0.000 0.867 1
O1 0.000 0.191 0.000 1
O2 0.112 0.318 0.493 1

---

No. 6
# CaCoP2Pd, relaxed, DFT GGA-PBE
# - Total energy: -5.777 eV per atom
# - Formation energy from the elements: -0.753 eV/atom
# - Spin magnetization: 1.0 μB per formula unit
data_CaCoP2Pd
_chemical_formula_sum 'Ca2 Co2 P4 Pd2'
_space_group_name_H-M_alt 'I -4 m 2'
_space_group_IT_number 119
_space_group_name_Hall 'I -4 -2'
_cell_length_a 4.016
_cell_length_b 4.016
_cell_length_c 9.661
_cell_angle_alpha 90.00
_cell_angle_beta 90.00
_cell_angle_gamma 90.00
loop_
_atom_site_label
_atom_site_fract_x
_atom_site_fract_y
_atom_site_fract_z
_atom_site_occupancy
Ca1 0.000 0.000 0.000 1
Co1 0.000 0.500 0.250 1
P1 0.000 0.000 0.383 1
Pd1 0.000 0.500 0.750 1

---

No. 7
# Mg2SiNi3, relaxed, DFT GGA-PBE
# - Total energy: -4.793 eV per atom
# - Spin magnetization: 0.0 μB per formula unit
# - E_form (uncorrected): -45.1 kJ per mole of atoms
data_Mg2SiNi3
_chemical_formula_sum 'Mg6 Si3 Ni9'
_space_group_name_H-M_alt 'R -3 m'
_space_group_IT_number 166
_space_group_name_Hall '-R 3 2"'
_cell_length_a 4.9951
_cell_length_b 4.9951
_cell_length_c 11.0943
_cell_angle_alpha 90.00
_cell_angle_beta 90.00
_cell_angle_gamma 120.00
loop_
_atom_site_label
_atom_site_fract_x
_atom_site_fract_y
_atom_site_fract_z
_atom_site_occupancy
Mg1 0.0000 0.0000 0.1256 1
Si1 0.0000 0.0000 0.5000 1
Ni1 0.0000 0.5000 0.0000 1

---

No. 8
# LiNdEuGe, relaxed, DFT GGA-PBE
# - Total energy: -5.774 eV per atom
# - Formation energy from the elements: -0.381 eV/atom
# - Spin magnetization: 7.5 μB per formula unit
data_LiNdEuGe
_chemical_formula_sum 'Li4 Nd4 Eu4 Ge4'
_space_group_name_H-M_alt 'F -4 3 m'
_space_group_IT_number 216
_space_group_name_Hall 'F -4 2 3'
_cell_length_a 7.435
_cell_length_b 7.435
_cell_length_c 7.435
_cell_angle_alpha 90.00
_cell_angle_beta 90.00
_cell_angle_gamma 90.00
loop_
_atom_site_label
_atom_site_fract_x
_atom_site_fract_y
_atom_site_fract_z
_atom_site_occupancy
Li1 0.000 0.000 0.000 1
Nd1 0.250 0.250 0.250 1
Eu1 0.250 0.250 0.750 1
Ge1 0.000 0.000 0.500 1

---

Number 1: N(E_F) 2.05 states/eV/cell. Number 2: N(E_F) 13.35 states/eV/cell. Number 3: N(E_F) 3.16 states/eV/cell. Number 4: N(E_F) 64.03 states/eV/cell. Number 5: N(E_F) 0.00 states/eV/cell. Number 6: N(E_F) 7.11 states/eV/cell. Number 7: N(E_F) 7.45 states/eV/cell. Number 8: N(E_F) 38.48 states/eV/cell.